The following is a PBEsol calculation of a relaxed RbTcS3 crystal, from Alexandria.

As for the formation energy without anion corrections: 2016 meV/atom. For the distance to the lowest polymorph of the same formula, the calculation gives 2.3967 eV/atom.

The structure belongs to space group Pm-3m (No. 221); the cell edges are 5.152, 5.152 and 5.152 Å and the angles 90.00°, 90.00° and 90.00°. Symmetry generates all atoms from Rb at (0.000, 0.000, 0.000), Tc at (0.500, 0.500, 0.500) and S at (0.000, 0.000, 0.500).


The following is a PBEsol calculation of a relaxed Mg2SbOs crystal, from Alexandria.

As for the formation energy without anion corrections: 130 meV/atom.

The structure belongs to space group P4mm (No. 99); the cell edges are 3.166, 3.166 and 8.071 Å and the angles 90.00°, 90.00° and 90.00°. Symmetry generates all atoms from Mg at (0.000, 0.000, 0.000), Mg at (0.500, 0.500, 0.296), Sb at (0.500, 0.500, 0.690) and Os at (0.000, 0.000, 0.506).


The following is a PBEsol calculation of a relaxed MgCd2Ag crystal, from Alexandria.

For the distance to the lowest polymorph of the same formula, the calculation gives 0.0237 eV/atom. As for the formation energy: -9.1 kJ per mole of atoms.

The structure belongs to space group Cm (No. 8); the cell edges are 9.879, 3.221 and 4.983 Å and the angles 90.00°, 104.34° and 90.00°. Symmetry generates all atoms from Mg at (0.000, 0.000, 0.000), Cd at (0.243, 0.000, 0.729), Cd at (0.487, 0.000, 0.484) and Ag at (0.242, 0.500, 0.225).


The following is a PBEsol calculation of a relaxed AlCdPt2 crystal, from Alexandria.

As for the formation energy: -47.9 kJ per mole of atoms.

The structure belongs to space group Imm2 (No. 44); the cell edges are 3.477, 4.079 and 8.928 Å and the angles 90.00°, 90.00° and 90.00°. Symmetry generates all atoms from Al at (0.000, 0.000, 0.000), Cd at (0.000, 0.500, 0.245), Pt at (0.000, 0.000, 0.475) and Pt at (0.000, 0.500, 0.706).


The following is a PBEsol calculation of a relaxed TlTcP2 crystal, from Alexandria.

For the distance to the lowest polymorph of the same formula, the calculation gives 0.2589 eV/atom. As for the formation energy: 24.3 kJ per mole of atoms.

The structure belongs to space group R3m (No. 160, hexagonal axes); the cell edges are 3.1388, 3.1388 and 23.1110 Å and the angles 90.00°, 90.00° and 120.00°. Symmetry generates all atoms from Tl at (0.0000, 0.0000, 0.0000), Tc at (0.0000, 0.0000, 0.7656), P at (0.0000, 0.0000, 0.2322) and P at (0.0000, 0.0000, 0.4984).


The following is a PBEsol calculation of a relaxed ZnW2Se crystal, from Alexandria.

As for the formation energy without anion corrections: 590 meV/atom.

The structure belongs to space group F-43m (No. 216); the cell edges are 6.305, 6.305 and 6.305 Å and the angles 90.00°, 90.00° and 90.00°. Symmetry generates all atoms from Zn at (0.000, 0.000, 0.000), W at (0.000, 0.000, 0.500), W at (0.250, 0.250, 0.250) and Se at (0.250, 0.250, 0.750).


The following is a PBEsol calculation of a relaxed Be2ReTe crystal, from Alexandria.

As for the formation energy without anion corrections: 570 meV/atom.

The structure belongs to space group P4/mmm (No. 123); the cell edges are 4.045, 4.045 and 3.224 Å and the angles 90.00°, 90.00° and 90.00°. Symmetry generates all atoms from Be at (0.000, 0.500, 0.000), Re at (0.000, 0.000, 0.500) and Te at (0.500, 0.500, 0.500).


The following is a PBEsol calculation of a relaxed CrInHg crystal, from Alexandria.

For the distance to the lowest polymorph of the same formula, the calculation gives 0.0000 eV/atom. As for the formation energy: 35.9 kJ per mole of atoms.

The structure belongs to space group I4mm (No. 107); the cell edges are 3.135, 3.135 and 11.852 Å and the angles 90.00°, 90.00° and 90.00°. Symmetry generates all atoms from Cr at (0.000, 0.000, 0.000), In at (0.000, 0.000, 0.345) and Hg at (0.000, 0.000, 0.653).


The following is a PBEsol calculation of a relaxed TaCu2As crystal, from Alexandria.

As for the formation energy: 6.5 kJ per mole of atoms.

The structure belongs to space group Immm (No. 71); the cell edges are 3.007, 4.188 and 9.010 Å and the angles 90.00°, 90.00° and 90.00°. Symmetry generates all atoms from Ta at (0.000, 0.000, 0.000), Cu at (0.000, 0.500, 0.236) and As at (0.000, 0.000, 0.500).


The following is a PBEsol calculation of a relaxed TaFe4Ru crystal, from Alexandria.

As for the formation energy: -11.0 kJ per mole of atoms.

The structure belongs to space group F-43m (No. 216); the cell edges are 6.590, 6.590 and 6.590 Å and the angles 90.00°, 90.00° and 90.00°. Symmetry generates all atoms from Ta at (0.000, 0.000, 0.000), Fe at (0.125, 0.125, 0.375) and Ru at (0.250, 0.250, 0.750).


The following is a PBEsol calculation of a relaxed ZrAlTc2 crystal, from Alexandria.

As for the formation energy: -14.5 kJ per mole of atoms.

The structure belongs to space group Pmmm (No. 47); the cell edges are 3.411, 4.123 and 4.459 Å and the angles 90.00°, 90.00° and 90.00°. Symmetry generates all atoms from Zr at (0.000, 0.000, 0.000), Al at (0.500, 0.000, 0.500), Tc at (0.000, 0.500, 0.500) and Tc at (0.500, 0.500, 0.000).


The following is a PBEsol calculation of a relaxed Ga3CuSn crystal, from Alexandria.

As for the formation energy: 16.2 kJ per mole of atoms.

The structure belongs to space group Pm-3m (No. 221); the cell edges are 4.668, 4.668 and 4.668 Å and the angles 90.00°, 90.00° and 90.00°. Symmetry generates all atoms from Ga at (0.000, 0.000, 0.500), Cu at (0.000, 0.000, 0.000) and Sn at (0.500, 0.500, 0.500).


no.,total magnetization (Bohr magnetons per cell),N(E_F) (states/eV per atom)
1,4.7,0.86
2,0.0,0.43
3,0.0,0.29
4,0.0,0.34
5,0.0,0.50
6,0.0,0.41
7,0.0,0.39
8,7.5,0.57
9,0.0,0.47
10,23.5,1.35
11,0.0,0.83
12,0.0,0.51